9
Lattice="-2.381 0.769 -2.860 1.887 -6.250 -3.251 -5.587 0.131 4.687" Properties=species:S:1:pos:R:3 comment="Er2ZrGa6 (GGA-PBE, optimized geometry)" energy_ev_per_atom=-4.546 pbc="T T T"
Ga -2.413 -1.638 -0.956
Ga -3.668 -3.712 -0.469
Ga -3.037 0.428 0.119
Ga -5.514 -3.669 1.080
Ga -0.567 -1.681 -2.505
Ga -4.931 0.472 1.708
Zr -5.587 0.131 4.687
Er -2.985 -3.354 -3.465
Er -3.096 -1.996 2.041

=====

4
Lattice="-1.760 -4.791 7.462 -0.695 -6.934 5.758 1.140 -5.225 7.288" Properties=species:S:1:pos:R:3 comment="TcTeRh2 (GGA-PBE, optimized geometry)" formation_energy_uncorrected_ev_per_atom=0.296 pbc="T T T"
Rh -1.309 -16.879 20.422
Rh -0.663 -8.547 10.341
Te -0.986 -12.713 15.381
Tc -0.329 -4.238 5.127

=====

14
Lattice="7.806 2.574 8.663 5.020 6.508 8.663 3.635 2.574 11.081" Properties=species:S:1:pos:R:3 comment="TcMo3W3 (GGA-PBE, optimized geometry)" energy_ev_per_atom=-11.140 pbc="T T T"
Mo 7.186 4.150 14.012
Mo 9.695 4.937 15.205
Mo 6.765 6.718 13.203
Mo 9.274 7.505 14.395
Mo 7.437 6.255 15.973
Mo 9.024 5.400 12.435
Tc 10.975 7.771 18.941
Tc 5.485 3.884 9.467
W 11.346 7.067 16.346
W 7.468 3.301 11.226
W 5.115 4.588 12.062
W 8.993 8.355 17.181
W 6.959 5.948 10.435
W 9.502 5.708 17.972

=====

4
Lattice="5.068 0.001 -0.001 2.530 4.391 0.001 -3.332 -3.004 2.358" Properties=species:S:1:pos:R:3 comment="ScMn2Fe (GGA-PBE, optimized geometry)" de_polymorph_mev_per_atom=86.5 pbc="T T T"
Sc 2.768 -0.404 1.179
Mn 3.642 2.105 0.000
Mn 0.157 0.091 0.000
Fe 1.499 1.792 1.179

=====

10
Lattice="7.337 -0.001 0.000 0.000 8.537 0.003 0.000 0.004 6.034" Properties=species:S:1:pos:R:3 comment="Te3AsI (GGA-PBE, optimized geometry)" de_polymorph_mev_per_atom=0.0 formation_energy_uncorrected_ev_per_atom=0.122 pbc="T T T"
Te 6.878 4.214 2.725
Te 3.210 7.338 2.719
Te 6.671 8.172 4.227
Te 6.871 4.215 5.730
Te 3.002 3.380 1.216
Te 3.203 7.340 5.747
As 1.043 6.136 4.230
As 4.711 5.416 1.213
I 3.324 2.909 4.233
I 6.993 0.106 1.208

=====

6
Lattice="-3.811 -0.995 -1.059 2.432 -2.545 -6.364 1.840 -5.184 6.109" Properties=species:S:1:pos:R:3 comment="LaBrCl (GGA-PBE, optimized geometry)" formation_energy_uncorrected_ev_per_atom=-1.916 pbc="T T T"
Cl 2.038 -3.880 -3.689
Cl -1.577 -4.845 2.375
La 0.653 -3.548 0.985
La -0.192 -5.177 -2.299
Br -1.198 -2.484 -1.210
Br 1.659 -6.241 -0.104